(1)
Compound: RbTlSn2O
Source: Alexandria
Functional: GGA-PBEsol
Structure: relaxed

Geometry as POSCAR:
```
RbTlSn2O
1.0
5.529 0.000 0.000
0.000 5.529 0.000
0.000 0.000 7.411
Rb Tl Sn O
1 1 2 1
Cartesian
0.000 0.000 0.000
0.000 0.000 3.706
0.000 2.765 3.706
2.765 0.000 3.706
2.765 2.765 0.000
```

Results
Space group   P4/mmm, No. 123
Raw formation energy   0.747 eV per atom
Total moment   1.0 μB per cell
Calculated volume   226.60 Å³/cell


(2)
Compound: Co2SbBr
Source: Alexandria
Functional: GGA-PBEsol
Structure: relaxed

Geometry as POSCAR:
```
Co2SbBr
1.0
3.993 0.000 0.000
0.000 3.189 0.000
-1.246 0.000 5.046
Co Sb Br
2 1 1
Cartesian
0.000 0.000 0.000
1.373 1.595 2.523
-0.623 0.000 2.523
1.996 1.595 0.000
```

Results
Space group   P2/m, No. 10
Raw formation energy   0.468 eV per atom
Total moment   1.8 μB per cell
Calculated volume   64.25 Å³/cell


(3)
Compound: YScAl2
Source: Alexandria
Functional: GGA-PBEsol
Structure: relaxed

Geometry as POSCAR:
```
YScAl2
1.0
-1.757 2.387 5.058
1.757 -2.387 5.058
1.757 2.387 -5.058
Y Sc Al
1 1 2
Cartesian
0.000 0.000 0.000
0.000 2.387 2.353
1.757 0.000 2.683
0.000 0.000 4.708
```

Results
Space group   Imm2, No. 44
Excess energy over the best structure of this formula in the dataset   90.1 meV per atom
Total moment   0.0 μB per cell
Calculated volume   84.82 Å³/cell
Calculated formation energy   -34.1 kJ/mol of atoms